Entry 1:
# HfFe2 PBE relaxed
# - Size of the total moment: 3.03 μB/f.u.
# - Energy relative to the elements: -1.024 eV/f.u.
data_HfFe2
_cell_length_a 4.9367
_cell_length_b 4.9367
_cell_length_c 16.0836
_cell_angle_alpha 90.00
_cell_angle_beta 90.00
_cell_angle_gamma 120.00
_space_group_name_H-M_alt 'P 63/m m c'
_space_group_IT_number 194
_space_group_name_Hall '-P 6c 2c'
loop_
_atom_site_label
_atom_site_fract_x
_atom_site_fract_y
_atom_site_fract_z
Hf1 0.0000 0.0000 0.0940
Hf2 0.3333 0.6667 0.1564
Fe1 0.0000 0.5000 0.0000
Fe2 0.1645 0.3291 0.7500
Fe3 0.3333 0.6667 0.6256



Entry 2:
# HfFe PBE relaxed
# - Size of the total moment: 1.07 μB/f.u.
# - Energy relative to the elements: 0.679 eV/f.u.
data_HfFe
_cell_length_a 5.186
_cell_length_b 5.186
_cell_length_c 5.186
_cell_angle_alpha 90.00
_cell_angle_beta 90.00
_cell_angle_gamma 90.00
_space_group_name_H-M_alt 'F m -3 m'
_space_group_IT_number 225
_space_group_name_Hall '-F 4 2 3'
loop_
_atom_site_label
_atom_site_fract_x
_atom_site_fract_y
_atom_site_fract_z
Hf1 0.000 0.000 0.000
Fe1 0.000 0.000 0.500



N(E_F) in states/eV/cell, matching the order above: 17.10 9.22
Total DFT energy (no corrections) in eV per cell, matching the order above: -223.2 -70.9